A plane-wave DFT calculation with GGA+U was carried out for a geometry-optimized LiMo2P3O13 structure.

Cell and atoms, written as POSCAR:
```
LiMo2P3O13
1.0
6.493 0.000 0.000
0.000 22.645 0.000
-5.399 0.000 7.085
Li Mo P O
4 8 12 52
direct
0.077 0.151 0.287 Li
0.077 0.349 0.787 Li
0.923 0.651 0.213 Li
0.923 0.849 0.713 Li
0.276 0.207 0.044 Mo
0.276 0.293 0.544 Mo
0.439 0.564 0.724 Mo
0.439 0.936 0.224 Mo
0.561 0.064 0.776 Mo
0.561 0.436 0.276 Mo
0.724 0.707 0.456 Mo
0.724 0.793 0.956 Mo
0.009 0.598 0.796 P
0.009 0.902 0.296 P
0.341 0.703 0.580 P
0.341 0.797 0.080 P
0.479 0.084 0.354 P
0.479 0.416 0.854 P
0.521 0.584 0.146 P
0.521 0.916 0.646 P
0.659 0.203 0.920 P
0.659 0.297 0.420 P
0.991 0.098 0.704 P
0.991 0.402 0.204 P
0.041 0.705 0.447 O
0.041 0.795 0.947 O
0.075 0.159 0.799 O
0.075 0.341 0.299 O
0.125 0.558 0.728 O
0.125 0.942 0.228 O
0.193 0.224 0.443 O
0.193 0.276 0.943 O
0.199 0.066 0.707 O
0.199 0.434 0.207 O
0.233 0.613 0.015 O
0.233 0.887 0.515 O
0.259 0.559 0.485 O
0.259 0.941 0.985 O
0.327 0.125 0.183 O
0.327 0.375 0.683 O
0.363 0.086 0.461 O
0.363 0.414 0.961 O
0.402 0.690 0.438 O
0.402 0.810 0.938 O
0.439 0.654 0.729 O
0.439 0.846 0.229 O
0.468 0.738 0.183 O
0.468 0.762 0.683 O
0.486 0.522 0.197 O
0.486 0.978 0.697 O
0.514 0.022 0.303 O
0.514 0.478 0.803 O
0.532 0.238 0.317 O
0.532 0.262 0.817 O
0.561 0.154 0.771 O
0.561 0.346 0.271 O
0.598 0.190 0.062 O
0.598 0.310 0.562 O
0.637 0.586 0.039 O
0.637 0.914 0.539 O
0.673 0.625 0.317 O
0.673 0.875 0.817 O
0.741 0.059 0.015 O
0.741 0.441 0.515 O
0.767 0.113 0.485 O
0.767 0.387 0.985 O
0.801 0.566 0.793 O
0.801 0.934 0.293 O
0.807 0.724 0.057 O
0.807 0.776 0.557 O
0.875 0.058 0.772 O
0.875 0.442 0.272 O
0.925 0.659 0.701 O
0.925 0.841 0.201 O
0.959 0.205 0.053 O
0.959 0.295 0.553 O
```

Results
The calculation puts the density of states at the Fermi level at 0.00 states/eV per atom. For the calculated volume, the calculation gives 13.71 Å³ per atom. The calculation puts the calculated total energy at -7.114 eV/atom. The magnetic moment is 2.00 μB/f.u.